No. 1
## YTl2Cr2 (PBE)

Data for YTl2Cr2 after structural relaxation.

```
YTl2Cr2
1.0
8.271 0.000 0.000
0.000 8.271 0.000
0.000 0.000 3.106
Y Tl Cr
2 4 4
Direct
0.000 0.000 0.000
0.500 0.500 0.000
0.190 0.310 0.000
0.310 0.810 0.000
0.690 0.190 0.000
0.810 0.690 0.000
0.084 0.584 0.500
0.416 0.084 0.500
0.584 0.916 0.500
0.916 0.416 0.500
```

Values from the calculation:
The space group is P4/mbm, No. 127. For the total energy, the calculation gives -5.484 eV/atom. The calculation puts the calculated formation energy at 605 meV per atom. Its calculated volume is 212.50 Å³ per cell.

***

No. 2
## YTl2Cr (PBE)

Data for YTl2Cr after structural relaxation.

```
YTl2Cr
1.0
5.236 -2.281 0.000
5.236 2.281 0.000
-1.983 0.000 4.145
Y Tl Cr
1 2 1
Direct
0.000 0.000 0.000
0.249 0.249 0.750
0.499 0.499 0.498
0.750 0.750 0.250
```

Values from the calculation:
The space group is Cm, No. 8. For the total energy, the calculation gives -5.019 eV/atom. The calculation puts the calculated formation energy at 186 meV per atom. Its calculated volume is 99.01 Å³ per cell.

***

No. 3
## YTl2Cr (PBE)

Data for YTl2Cr after structural relaxation.

```
YTl2Cr
1.0
4.657 0.000 0.000
0.000 4.657 0.000
0.000 0.000 4.481
Y Tl Cr
1 2 1
Direct
0.000 0.000 0.000
0.000 0.500 0.500
0.500 0.000 0.500
0.500 0.500 0.000
```

Values from the calculation:
The space group is P4/mmm, No. 123. For the total energy, the calculation gives -5.099 eV/atom. The calculation puts the calculated formation energy at 106 meV per atom. Its calculated volume is 97.18 Å³ per cell.

***

No. 4
## YTl2Cr (PBE)

Data for YTl2Cr after structural relaxation.

```
YTl2Cr
1.0
3.780 0.000 0.000
0.000 3.780 0.000
0.000 0.000 7.079
Y Tl Cr
1 2 1
Direct
0.000 0.000 0.000
0.000 0.000 0.450
0.500 0.500 0.726
0.500 0.500 0.239
```

Values from the calculation:
The space group is P4mm, No. 99. For the total energy, the calculation gives -4.974 eV/atom. The calculation puts the calculated formation energy at 231 meV per atom. Its calculated volume is 101.17 Å³ per cell.